Run P
# MnCuPS2 (GGA-PBE, optimized geometry)
data_MnCuPS2
_symmetry_space_group_name_H-M 'P 1'
_symmetry_Int_Tables_number 1
_symmetry_space_group_name_Hall 'P 1'
_cell_length_a 4.527
_cell_length_b 4.527
_cell_length_c 4.371
_cell_angle_alpha 90.00
_cell_angle_beta 90.00
_cell_angle_gamma 90.00
loop_
_atom_site_label
_atom_site_type_symbol
_atom_site_fract_x
_atom_site_fract_y
_atom_site_fract_z
S1 S 0.500 0.000 0.000
S2 S 0.000 0.500 0.000
Mn1 Mn 0.500 0.500 0.500
P1 P 0.000 0.000 0.500
Cu1 Cu 0.000 0.000 0.000
# * magnetization: 0.037 μB/atom
# * symmetry: P4/mmm



Run Q
# MnCuPS2 (GGA-PBE, optimized geometry)
data_MnCuPS2
_symmetry_space_group_name_H-M 'P 1'
_symmetry_Int_Tables_number 1
_symmetry_space_group_name_Hall 'P 1'
_cell_length_a 4.534
_cell_length_b 4.534
_cell_length_c 4.400
_cell_angle_alpha 90.00
_cell_angle_beta 90.00
_cell_angle_gamma 90.00
loop_
_atom_site_label
_atom_site_type_symbol
_atom_site_fract_x
_atom_site_fract_y
_atom_site_fract_z
S1 S 0.500 0.000 0.000
S2 S 0.000 0.500 0.000
Cu1 Cu 0.500 0.500 0.500
Mn1 Mn 0.000 0.000 0.000
P1 P 0.000 0.000 0.500
# * magnetization: 0.495 μB/atom
# * symmetry: P4/mmm



Most stable structure, least stable structure: run Q, run P.



Run P
# MnCuP2S (GGA-PBE, optimized geometry)
data_MnCuP2S
_symmetry_space_group_name_H-M 'P 1'
_symmetry_Int_Tables_number 1
_symmetry_space_group_name_Hall 'P 1'
_cell_length_a 4.183
_cell_length_b 4.183
_cell_length_c 5.094
_cell_angle_alpha 90.00
_cell_angle_beta 90.00
_cell_angle_gamma 90.00
loop_
_atom_site_label
_atom_site_type_symbol
_atom_site_fract_x
_atom_site_fract_y
_atom_site_fract_z
Cu1 Cu 0.500 0.500 0.500
P1 P 0.500 0.000 0.000
P2 P 0.000 0.500 0.000
S1 S 0.000 0.000 0.500
Mn1 Mn 0.000 0.000 0.000
# * magnetization: 0.239 μB/atom
# * symmetry: P4/mmm



Run Q
# MnCuP2S (GGA-PBE, optimized geometry)
data_MnCuP2S
_symmetry_space_group_name_H-M 'P 1'
_symmetry_Int_Tables_number 1
_symmetry_space_group_name_Hall 'P 1'
_cell_length_a 4.439
_cell_length_b 4.439
_cell_length_c 4.703
_cell_angle_alpha 90.00
_cell_angle_beta 90.00
_cell_angle_gamma 90.00
loop_
_atom_site_label
_atom_site_type_symbol
_atom_site_fract_x
_atom_site_fract_y
_atom_site_fract_z
P1 P 0.500 0.000 0.000
P2 P 0.000 0.500 0.000
Mn1 Mn 0.500 0.500 0.500
S1 S 0.000 0.000 0.500
Cu1 Cu 0.000 0.000 0.000
# * magnetization: 0.766 μB/atom
# * symmetry: P4/mmm



Most stable structure, least stable structure: run P, run Q.



Run P
# PuPaMnCu (GGA-PBE, optimized geometry)
data_PuPaMnCu
_symmetry_space_group_name_H-M 'P 1'
_symmetry_Int_Tables_number 1
_symmetry_space_group_name_Hall 'P 1'
_cell_length_a 4.784
_cell_length_b 4.784
_cell_length_c 4.784
_cell_angle_alpha 60.00
_cell_angle_beta 60.00
_cell_angle_gamma 60.00
loop_
_atom_site_label
_atom_site_type_symbol
_atom_site_fract_x
_atom_site_fract_y
_atom_site_fract_z
Cu1 Cu 0.250 0.250 0.250
Pu1 Pu 0.500 0.500 0.500
Mn1 Mn 0.750 0.750 0.750
Pa1 Pa 0.000 0.000 0.000
# * magnetization: 1.082 μB/atom
# * symmetry: F-43m



Run Q
# PuPaMnCu (GGA-PBE, optimized geometry)
data_PuPaMnCu
_symmetry_space_group_name_H-M 'P 1'
_symmetry_Int_Tables_number 1
_symmetry_space_group_name_Hall 'P 1'
_cell_length_a 4.613
_cell_length_b 4.613
_cell_length_c 4.613
_cell_angle_alpha 60.00
_cell_angle_beta 60.00
_cell_angle_gamma 60.00
loop_
_atom_site_label
_atom_site_type_symbol
_atom_site_fract_x
_atom_site_fract_y
_atom_site_fract_z
Mn1 Mn 0.000 0.000 0.000
Pu1 Pu 0.500 0.500 0.500
Cu1 Cu 0.750 0.750 0.750
Pa1 Pa 0.250 0.250 0.250
# * magnetization: 0.773 μB/atom
# * symmetry: F-43m



Most stable structure, least stable structure: run Q, run P.



Run P
# MnCuPb2 (GGA-PBE, optimized geometry)
data_MnCuPb2
_symmetry_space_group_name_H-M 'P 1'
_symmetry_Int_Tables_number 1
_symmetry_space_group_name_Hall 'P 1'
_cell_length_a 7.623
_cell_length_b 7.623
_cell_length_c 6.282
_cell_angle_alpha 52.64
_cell_angle_beta 52.64
_cell_angle_gamma 90.00
loop_
_atom_site_label
_atom_site_type_symbol
_atom_site_fract_x
_atom_site_fract_y
_atom_site_fract_z
Mn1 Mn 0.500 0.500 0.000
Mn2 Mn 0.250 0.750 0.500
Pb1 Pb 0.646 0.125 0.250
Pb2 Pb 0.104 0.625 0.250
Pb3 Pb 0.875 0.896 0.750
Pb4 Pb 0.375 0.354 0.750
Cu1 Cu 0.750 0.250 0.500
Cu2 Cu 0.000 0.000 0.000
# * magnetization: 1.016 μB/atom
# * symmetry: I-42d



Run Q
# MnCuPb2 (GGA-PBE, optimized geometry)
data_MnCuPb2
_symmetry_space_group_name_H-M 'P 1'
_symmetry_Int_Tables_number 1
_symmetry_space_group_name_Hall 'P 1'
_cell_length_a 4.270
_cell_length_b 3.778
_cell_length_c 5.637
_cell_angle_alpha 70.37
_cell_angle_beta 90.00
_cell_angle_gamma 90.00
loop_
_atom_site_label
_atom_site_type_symbol
_atom_site_fract_x
_atom_site_fract_y
_atom_site_fract_z
Pb1 Pb 0.000 0.982 0.911
Pb2 Pb 0.500 0.272 0.332
Cu1 Cu 0.000 0.695 0.483
Mn1 Mn 0.500 0.551 0.774
# * magnetization: 0.892 μB/atom
# * symmetry: Pm



Most stable structure, least stable structure: run Q, run P.



Run P
# MnCuPb2 (GGA-PBE, optimized geometry)
data_MnCuPb2
_symmetry_space_group_name_H-M 'P 1'
_symmetry_Int_Tables_number 1
_symmetry_space_group_name_Hall 'P 1'
_cell_length_a 8.950
_cell_length_b 8.950
_cell_length_c 8.950
_cell_angle_alpha 21.98
_cell_angle_beta 21.98
_cell_angle_gamma 21.98
loop_
_atom_site_label
_atom_site_type_symbol
_atom_site_fract_x
_atom_site_fract_y
_atom_site_fract_z
Pb1 Pb 0.503 0.503 0.503
Pb2 Pb 0.997 0.997 0.997
Cu1 Cu 0.250 0.250 0.250
Mn1 Mn 0.750 0.750 0.750
# * magnetization: 0.905 μB/atom
# * symmetry: R-3m



Run Q
# MnCuPb2 (GGA-PBE, optimized geometry)
data_MnCuPb2
_symmetry_space_group_name_H-M 'P 1'
_symmetry_Int_Tables_number 1
_symmetry_space_group_name_Hall 'P 1'
_cell_length_a 3.302
_cell_length_b 3.302
_cell_length_c 8.249
_cell_angle_alpha 90.00
_cell_angle_beta 90.00
_cell_angle_gamma 90.01
loop_
_atom_site_label
_atom_site_type_symbol
_atom_site_fract_x
_atom_site_fract_y
_atom_site_fract_z
Mn1 Mn 0.500 0.500 0.694
Cu1 Cu 0.000 0.000 0.553
Pb1 Pb 0.500 0.500 0.317
Pb2 Pb 0.000 0.000 0.936
# * magnetization: 1.000 μB/atom
# * symmetry: P4mm



Most stable structure, least stable structure: run Q, run P.



Run P
# Mn3CuPb (GGA-PBE, optimized geometry)
data_Mn3CuPb
_symmetry_space_group_name_H-M 'P 1'
_symmetry_Int_Tables_number 1
_symmetry_space_group_name_Hall 'P 1'
_cell_length_a 5.142
_cell_length_b 5.142
_cell_length_c 5.142
_cell_angle_alpha 90.00
_cell_angle_beta 90.00
_cell_angle_gamma 90.00
loop_
_atom_site_label
_atom_site_type_symbol
_atom_site_fract_x
_atom_site_fract_y
_atom_site_fract_z
Mn1 Mn 0.000 0.000 0.500
Mn2 Mn 0.000 0.500 0.000
Mn3 Mn 0.500 0.000 0.000
Pb1 Pb 0.000 0.000 0.000
Cu1 Cu 0.500 0.500 0.500
# * magnetization: 2.564 μB/atom
# * symmetry: Pm-3m



Run Q
# Mn3CuPb (GGA-PBE, optimized geometry)
data_Mn3CuPb
_symmetry_space_group_name_H-M 'P 1'
_symmetry_Int_Tables_number 1
_symmetry_space_group_name_Hall 'P 1'
_cell_length_a 4.628
_cell_length_b 4.628
_cell_length_c 4.628
_cell_angle_alpha 90.00
_cell_angle_beta 90.00
_cell_angle_gamma 90.00
loop_
_atom_site_label
_atom_site_type_symbol
_atom_site_fract_x
_atom_site_fract_y
_atom_site_fract_z
Mn1 Mn 0.000 0.500 0.000
Mn2 Mn 0.000 0.000 0.500
Mn3 Mn 0.500 0.000 0.000
Pb1 Pb 0.500 0.500 0.500
Cu1 Cu 0.000 0.000 0.000
# * magnetization: 2.324 μB/atom
# * symmetry: Pm-3m



Most stable structure, least stable structure: run Q, run P.